This record from Alexandria via LeMat-Bulk describes a relaxed structure of ZrTl2Re. The functional is PBE-GGA.

Properties
DFT formation energy	587	meV/atom

Lattice parameters (Å, degrees): 4.5750 4.2611 4.2611 90.00 90.00 90.00
Sites, in units of the cell vectors:
1 Re 0.5000 0.0000 0.5000
2 Tl 0.0000 0.5000 0.5000
3 Tl 0.0000 0.0000 0.0000
4 Zr 0.5000 0.5000 0.0000


This record from Alexandria via LeMat-Bulk describes a relaxed structure of Zr4TlRe. The functional is PBE-GGA.

Properties
DFT formation energy	549	meV/atom

Lattice parameters (Å, degrees): 5.6485 5.6485 5.6485 60.00 60.00 60.00
Sites, in units of the cell vectors:
1 Re 0.7500 0.7500 0.7500
2 Zr 0.8684 0.3772 0.3772
3 Zr 0.3772 0.3772 0.8684
4 Zr 0.3772 0.8684 0.3772
5 Zr 0.3772 0.3772 0.3772
6 Tl 0.0000 0.0000 0.0000


This record from Alexandria via LeMat-Bulk describes a relaxed structure of ZrTl2Re. The functional is PBE-GGA.

Properties
DFT formation energy	547	meV/atom

Lattice parameters (Å, degrees): 4.8711 3.0536 5.7034 80.98 90.00 90.00
Sites, in units of the cell vectors:
1 Tl 0.0000 0.9070 0.9929
2 Tl 0.0000 0.5930 0.5071
3 Zr 0.5000 0.2500 0.2500
4 Re 0.5000 0.7500 0.7500


This record from Alexandria via LeMat-Bulk describes a relaxed structure of Zr2TlRe. The functional is PBE-GGA.

Properties
DFT formation energy	21	meV/atom

Lattice parameters (Å, degrees): 4.8621 4.8621 4.8621 60.00 60.00 60.00
Sites, in units of the cell vectors:
1 Zr 0.2500 0.2500 0.2500
2 Zr 0.7500 0.7500 0.7500
3 Re 0.0000 0.0000 0.0000
4 Tl 0.5000 0.5000 0.5000


Record-wise relative energy among the computed polymorphs values, in eV/f.u.: 1.068; 2.263; 0.906; 0.806